(1)
## CsIBr2 (GGA-PBEsol)

Data for an optimized crystal structure of CsIBr2.

Structure (POSCAR):
```
CsIBr2
1.0
-3.022 3.022 9.971
3.022 -3.022 9.971
3.022 3.022 -9.971
Cs I Br
2 2 4
Direct
0.000 0.000 0.000
0.750 0.250 0.500
0.250 0.750 0.500
0.500 0.500 0.000
0.221 0.625 0.096
0.375 0.471 0.596
0.529 0.125 0.904
0.875 0.779 0.404
```

Calculated values
- ΔE_f (raw) (eV per atom) = -0.692
- size of the total moment (μB per cell) = 0.00

=====

(2)
## CsI2Br (GGA-PBEsol)

Data for an optimized crystal structure of CsI2Br.

Structure (POSCAR):
```
CsI2Br
1.0
10.655 0.000 0.000
0.000 6.582 0.000
0.000 0.000 9.677
Cs I Br
4 8 4
Direct
0.168 0.250 0.047
0.332 0.750 0.547
0.668 0.250 0.453
0.832 0.750 0.953
0.076 0.750 0.261
0.130 0.250 0.553
0.370 0.750 0.053
0.424 0.250 0.761
0.576 0.750 0.239
0.630 0.250 0.947
0.870 0.750 0.447
0.924 0.250 0.739
0.164 0.750 0.869
0.336 0.250 0.369
0.664 0.750 0.631
0.836 0.250 0.131
```

Calculated values
- ΔE_f (raw) (eV per atom) = -0.912
- size of the total moment (μB per cell) = 0.00

=====

(3)
## CsIBr3 (GGA-PBEsol)

Data for an optimized crystal structure of CsIBr3.

Structure (POSCAR):
```
CsIBr3
1.0
5.845 0.000 0.000
0.000 5.845 0.000
0.000 0.000 5.845
Cs I Br
1 1 3
Direct
0.000 0.000 0.000
0.500 0.500 0.500
0.000 0.500 0.500
0.500 0.000 0.500
0.500 0.500 0.000
```

Calculated values
- ΔE_f (raw) (eV per atom) = -0.713
- size of the total moment (μB per cell) = 0.00

=====

(4)
## Cs2PdI2Br4 (GGA-PBEsol)

Data for an optimized crystal structure of Cs2PdI2Br4.

Structure (POSCAR):
```
Cs2PdI2Br4
1.0
6.067 -4.173 0.000
6.067 4.173 0.000
-5.738 0.000 6.070
Cs Pd I Br
2 1 2 4
Direct
0.250 0.250 0.249
0.750 0.750 0.751
0.000 0.000 0.500
0.336 0.336 0.836
0.664 0.664 0.164
0.206 0.792 0.706
0.208 0.794 0.294
0.792 0.206 0.706
0.794 0.208 0.294
```

Calculated values
- ΔE_f (raw) (eV per atom) = -0.957
- size of the total moment (μB per cell) = 0.00